No. 1
# Ca2LaCr, optimized geometry, DFT PBE
# E_tot: -16.60 eV per cell
# magnetic moment: 4.23 Bohr magnetons per cell
# ΔH_f (0 K): 0.488 eV/atom
# relative energy among the computed polymorphs: 197.4 meV/atom
# symmetry: R-3m (166)
data_Ca2LaCr
_chemical_formula_sum 'Ca2 La1 Cr1'
_symmetry_space_group_name_H-M 'P 1'
_symmetry_Int_Tables_number 1
_cell_length_a 11.566
_cell_length_b 11.566
_cell_length_c 11.566
_cell_angle_alpha 18.35
_cell_angle_beta 18.35
_cell_angle_gamma 18.35
loop_
_symmetry_equiv_pos_as_xyz
'x,y,z'
loop_
_atom_site_label
_atom_site_fract_x
_atom_site_fract_y
_atom_site_fract_z
Ca1 0.238 0.238 0.238
Ca2 0.762 0.762 0.762
La1 0.000 0.000 0.000
Cr1 0.500 0.500 0.500

***

No. 2
# CaLaCr, optimized geometry, DFT PBE
# E_tot: -14.66 eV per cell
# magnetic moment: 4.25 Bohr magnetons per cell
# ΔH_f (0 K): 0.630 eV/atom
# relative energy among the computed polymorphs: 248.0 meV/atom
# symmetry: F-43m (216)
data_CaLaCr
_chemical_formula_sum 'Ca1 La1 Cr1'
_symmetry_space_group_name_H-M 'P 1'
_symmetry_Int_Tables_number 1
_cell_length_a 5.243
_cell_length_b 5.243
_cell_length_c 5.243
_cell_angle_alpha 60.00
_cell_angle_beta 60.00
_cell_angle_gamma 60.00
loop_
_symmetry_equiv_pos_as_xyz
'x,y,z'
loop_
_atom_site_label
_atom_site_fract_x
_atom_site_fract_y
_atom_site_fract_z
Ca1 0.000 0.000 0.000
La1 0.500 0.500 0.500
Cr1 0.750 0.750 0.750

***

No. 3
# Ca3LaCr, optimized geometry, DFT PBE
# E_tot: -17.89 eV per cell
# magnetic moment: 2.45 Bohr magnetons per cell
# ΔH_f (0 K): 0.533 eV/atom
# relative energy among the computed polymorphs: 0.0 meV/atom
# symmetry: Pm-3m (221)
data_Ca3LaCr
_chemical_formula_sum 'Ca3 La1 Cr1'
_symmetry_space_group_name_H-M 'P 1'
_symmetry_Int_Tables_number 1
_cell_length_a 5.749
_cell_length_b 5.749
_cell_length_c 5.749
_cell_angle_alpha 90.00
_cell_angle_beta 90.00
_cell_angle_gamma 90.00
loop_
_symmetry_equiv_pos_as_xyz
'x,y,z'
loop_
_atom_site_label
_atom_site_fract_x
_atom_site_fract_y
_atom_site_fract_z
Ca1 0.000 0.000 0.500
Ca2 0.000 0.500 0.000
Ca3 0.500 0.000 0.000
La1 0.500 0.500 0.500
Cr1 0.000 0.000 0.000

***

No. 4
# CaLaCr, optimized geometry, DFT PBE
# E_tot: -14.93 eV per cell
# magnetic moment: 4.12 Bohr magnetons per cell
# ΔH_f (0 K): 0.542 eV/atom
# relative energy among the computed polymorphs: 160.0 meV/atom
# symmetry: P3m1 (156)
data_CaLaCr
_chemical_formula_sum 'Ca1 La1 Cr1'
_symmetry_space_group_name_H-M 'P 1'
_symmetry_Int_Tables_number 1
_cell_length_a 5.408
_cell_length_b 5.408
_cell_length_c 3.544
_cell_angle_alpha 90.00
_cell_angle_beta 90.00
_cell_angle_gamma 120.00
loop_
_symmetry_equiv_pos_as_xyz
'x,y,z'
loop_
_atom_site_label
_atom_site_fract_x
_atom_site_fract_y
_atom_site_fract_z
Ca1 0.000 0.000 0.000
La1 0.333 0.667 0.577
Cr1 0.667 0.333 0.211

***

No. 5
# Ca2LaCr, optimized geometry, DFT PBE
# E_tot: -16.52 eV per cell
# magnetic moment: 4.41 Bohr magnetons per cell
# ΔH_f (0 K): 0.509 eV/atom
# relative energy among the computed polymorphs: 218.2 meV/atom
# symmetry: Cmmm (65)
data_Ca2LaCr
_chemical_formula_sum 'Ca2 La1 Cr1'
_symmetry_space_group_name_H-M 'P 1'
_symmetry_Int_Tables_number 1
_cell_length_a 6.230
_cell_length_b 6.230
_cell_length_c 3.674
_cell_angle_alpha 90.00
_cell_angle_beta 90.00
_cell_angle_gamma 111.38
loop_
_symmetry_equiv_pos_as_xyz
'x,y,z'
loop_
_atom_site_label
_atom_site_fract_x
_atom_site_fract_y
_atom_site_fract_z
Ca1 0.000 0.500 0.000
Ca2 0.500 0.000 0.000
La1 0.000 0.000 0.500
Cr1 0.500 0.500 0.500

***

No. 6
# Ca2LaCr2, optimized geometry, DFT PBE
# E_tot: -44.57 eV per cell
# magnetic moment: 0.02 Bohr magnetons per cell
# ΔH_f (0 K): 1.179 eV/atom
# relative energy among the computed polymorphs: 565.9 meV/atom
# symmetry: P4/mbm (127)
data_Ca2LaCr2
_chemical_formula_sum 'Ca4 La2 Cr4'
_symmetry_space_group_name_H-M 'P 1'
_symmetry_Int_Tables_number 1
_cell_length_a 8.945
_cell_length_b 8.945
_cell_length_c 3.017
_cell_angle_alpha 90.00
_cell_angle_beta 90.00
_cell_angle_gamma 90.00
loop_
_symmetry_equiv_pos_as_xyz
'x,y,z'
loop_
_atom_site_label
_atom_site_fract_x
_atom_site_fract_y
_atom_site_fract_z
Ca1 0.126 0.374 0.000
Ca2 0.374 0.874 0.000
Ca3 0.626 0.126 0.000
Ca4 0.874 0.626 0.000
La1 0.000 0.000 0.000
La2 0.500 0.500 0.000
Cr1 0.173 0.673 0.500
Cr2 0.327 0.173 0.500
Cr3 0.673 0.827 0.500
Cr4 0.827 0.327 0.500